First-principles (PBE) data for a relaxed structure of CsCa2NiP, as listed in Alexandria.

Values from the calculation:
* N(E_F): 1.38 states/eV/cell
* E: -2.94 eV per atom
* energy relative to the elements: 1.349 eV/f.u.
* magnetic moment: 0.00 μB/cell

abc: 5.369 5.369 5.353
angles: 90.00 90.00 90.00
Fractional coordinates of all 5 atoms:
Cs (0.000, 0.000, 0.000)
Ca (0.000, 0.500, 0.500)
Ca (0.500, 0.000, 0.500)
Ni (0.000, 0.000, 0.500)
P (0.500, 0.500, 0.000)

=====

First-principles (PBE) data for a relaxed structure of EuLuInRh, as listed in Alexandria.

Values from the calculation:
* N(E_F): 7.64 states/eV/cell
* E: -6.64 eV per atom
* energy relative to the elements: -1.657 eV/f.u.
* magnetic moment: 6.89 μB/cell

abc: 5.115 5.115 5.115
angles: 60.00 60.00 60.00
Fractional coordinates of all 4 atoms:
Eu (0.000, 0.000, 0.000)
Lu (0.500, 0.500, 0.500)
In (0.250, 0.250, 0.250)
Rh (0.750, 0.750, 0.750)

=====

| no. | volume (Å³ per cell) |
| --- | --- |
| 1 | 154.3 |
| 2 | 94.6 |